## Co2CuI6 (PBE)

Data for crystalline Co2CuI6 at its relaxed geometry.

Summary:
Uncorrected formation energy   -6.1 meV/atom

Cell and atoms, written as CIF:
```
data_Co2CuI6
_chemical_formula_sum 'Co8 Cu4 I24'
_cell_length_a 13.8063
_cell_length_b 15.5402
_cell_length_c 7.0232
_cell_angle_alpha 90.00
_cell_angle_beta 113.31
_cell_angle_gamma 90.00
_symmetry_space_group_name_H-M 'C 1 2/c 1'
_symmetry_Int_Tables_number 15
_symmetry_space_group_name_Hall '-C 2yc'
loop_
_atom_site_label
_atom_site_type_symbol
_atom_site_fract_x
_atom_site_fract_y
_atom_site_fract_z
Co1 Co 0.0565 0.0677 0.4548
Cu1 Cu 0.0000 0.4987 0.2500
I1 I 0.0886 0.4010 0.0668
I2 I 0.1419 0.1972 0.6579
I3 I 0.1438 0.0663 0.1812
```